1.
Entry from the Alexandria database: a relaxed K3ScRe crystal (PBE).

Values from the calculation:
Final energy: -11.2 eV/cell
Theoretical density: 1.756 g/cm3
E above lowest polymorph: 145 meV per atom
Size of the total moment: 4.19 μB/cell
DOS at the Fermi energy: 4.4726 states/eV per atom

a = 6.9073 Å, b = 6.9073 Å, c = 6.9073 Å
α = 90.00°, β = 90.00°, γ = 90.00°
Space group Pm-3m (No. 221)
Asymmetric unit:
K1 0.0000 0.0000 0.5000 [3 per cell]
Sc1 0.0000 0.0000 0.0000 [1 per cell]
Re1 0.5000 0.5000 0.5000 [1 per cell]

2.
Entry from the Alexandria database: a relaxed K2ScRe crystal (PBE).

Values from the calculation:
Final energy: -35.1 eV/cell
Theoretical density: 3.776 g/cm3
E above lowest polymorph: 141 meV per atom
Size of the total moment: 0.00 μB/cell
DOS at the Fermi energy: 0.8045 states/eV per atom

a = 9.2415 Å, b = 2.9399 Å, c = 10.0180 Å
α = 90.00°, β = 91.52°, γ = 90.00°
Space group Cm (No. 8)
Asymmetric unit:
K1 0.0000 0.0000 0.0000 [2 per cell]
K2 0.2374 0.0000 0.5998 [2 per cell]
Sc1 0.4794 0.0000 0.3324 [2 per cell]
Re1 0.2483 0.5000 0.2615 [2 per cell]

3.
Entry from the Alexandria database: a relaxed KScRe2 crystal (PBE).

Values from the calculation:
Final energy: -59.0 eV/cell
Theoretical density: 10.030 g/cm3
E above lowest polymorph: 252 meV per atom
Size of the total moment: 0.00 μB/cell
DOS at the Fermi energy: 0.9178 states/eV per atom

a = 3.1954 Å, b = 4.4916 Å, c = 10.5304 Å
α = 90.00°, β = 90.00°, γ = 90.00°
Space group Cmmm (No. 65)
Asymmetric unit:
K1 0.0000 0.0000 0.0000 [2 per cell]
Sc1 0.0000 0.0000 0.5000 [2 per cell]
Re1 0.0000 0.5000 0.2821 [4 per cell]

Which of these has the lowest theoretical density? K3ScRe

What did the second record say?
Entry from the Alexandria database: a relaxed K2ScRe crystal (PBE).

Values from the calculation:
Final energy: -35.1 eV/cell
Theoretical density: 3.776 g/cm3
E above lowest polymorph: 141 meV per atom
Size of the total moment: 0.00 μB/cell
DOS at the Fermi energy: 0.8045 states/eV per atom

a = 9.2415 Å, b = 2.9399 Å, c = 10.0180 Å
α = 90.00°, β = 91.52°, γ = 90.00°
Space group Cm (No. 8)
Asymmetric unit:
K1 0.0000 0.0000 0.0000 [2 per cell]
K2 0.2374 0.0000 0.5998 [2 per cell]
Sc1 0.4794 0.0000 0.3324 [2 per cell]
Re1 0.2483 0.5000 0.2615 [2 per cell]

size of the total moment of number 3 (KScRe2)? 0.00 μB/cell